Compound: BaCoTcO6
Source: the Alexandria database
Functional: PBE with a Hubbard U
Structure: relaxed

Results
Space-group type = P312
Electronic total energy = -6.825 eV/atom
V = 131 Å³ per cell

abc: 5.145 5.145 5.708
angles: 90.00 90.00 60.00
Sites, in units of the cell vectors:
O 0.000 0.394 0.314
O 0.607 0.000 0.314
O 0.607 0.394 0.686
O 0.000 0.607 0.686
O 0.394 0.607 0.314
O 0.394 0.000 0.686
Co 0.333 0.333 0.500
Tc 0.667 0.667 0.500
Ba 0.000 0.000 0.000